No. 1
# SCAN MgAlPb, PBEsol geometry
data_MgAlPb
_chemical_formula_sum 'Mg2 Al2 Pb2'
_cell_length_a 3.3308
_cell_length_b 4.2525
_cell_length_c 9.7437
_cell_angle_alpha 90.00
_cell_angle_beta 90.00
_cell_angle_gamma 90.00
_symmetry_space_group_name_H-M 'I m m 2'
_symmetry_Int_Tables_number 44
_symmetry_space_group_name_Hall 'I 2 -2'
loop_
_atom_site_label
_atom_site_type_symbol
_atom_site_fract_x
_atom_site_fract_y
_atom_site_fract_z
Mg1 Mg 0.0000 0.0000 0.0000
Al1 Al 0.0000 0.0000 0.3497
Pb1 Pb 0.0000 0.0000 0.6774
# Density of states at the Fermi level in states/eV/atom: 0.415
# E_form in meV/atom: 80



No. 2
# SCAN Na2LiP2, PBEsol geometry
data_Na2LiP2
_chemical_formula_sum 'Na4 Li2 P4'
_cell_length_a 6.6785
_cell_length_b 6.6785
_cell_length_c 4.3376
_cell_angle_alpha 90.00
_cell_angle_beta 90.00
_cell_angle_gamma 90.00
_symmetry_space_group_name_H-M 'P 4/m b m'
_symmetry_Int_Tables_number 127
_symmetry_space_group_name_Hall '-P 4 2ab'
loop_
_atom_site_label
_atom_site_type_symbol
_atom_site_fract_x
_atom_site_fract_y
_atom_site_fract_z
Na1 Na 0.1778 0.3222 0.0000
Li1 Li 0.0000 0.0000 0.5000
P1 P 0.1145 0.6145 0.5000
# Density of states at the Fermi level in states/eV/atom: 0.288
# E_form in meV/atom: -478
# Energy relative to the lowest polymorph listed for this composition in kJ/mol of atoms: 0.0



No. 3
# SCAN Ba4PrRu3O12, PBEsol geometry
data_Ba4PrRu3O12
_chemical_formula_sum 'Ba8 Pr2 Ru6 O24'
_cell_length_a 10.2104
_cell_length_b 5.8901
_cell_length_c 10.6358
_cell_angle_alpha 90.00
_cell_angle_beta 111.56
_cell_angle_gamma 90.00
_symmetry_space_group_name_H-M 'C 1 2/m 1'
_symmetry_Int_Tables_number 12
_symmetry_space_group_name_Hall '-C 2y'
loop_
_atom_site_label
_atom_site_type_symbol
_atom_site_fract_x
_atom_site_fract_y
_atom_site_fract_z
Ba1 Ba 0.1297 0.0000 0.3915
Ba2 Ba 0.2265 0.5000 0.1551
Pr1 Pr 0.0000 0.0000 0.0000
Ru1 Ru 0.0000 0.5000 0.5000
Ru2 Ru 0.0710 0.5000 0.7541
O1 O 0.0137 0.2657 0.8472
O2 O 0.1162 0.2695 0.6329
O3 O 0.1234 0.5000 0.3928
O4 O 0.2424 0.0000 0.1120
# Density of states at the Fermi level in states/eV/atom: 0.161
# E_form (uncorrected) in meV per atom: -2333.9